(1)
! GGA-PBE Ho2Tm5In5, relaxed; values from VASP
! Crystal system ... monoclinic
&SYSTEM
  ibrav = 0, nat = 12, ntyp = 3
/
ATOMIC_SPECIES
Tm 168.93 Tm.upf
In 114.82 In.upf
Ho 164.93 Ho.upf
ATOMIC_POSITIONS angstrom
Tm 0.000 1.921 7.862
Tm 2.505 -1.675 11.046
In 0.000 2.327 2.301
Ho 0.000 -1.725 8.385
In 0.000 0.347 5.115
Tm 2.505 -1.748 5.566
Ho 2.505 4.236 2.464
In 2.505 2.164 5.735
In 2.505 0.184 8.548
Tm 0.000 4.186 -0.196
In 0.000 0.000 0.000
Tm 2.505 0.589 2.987
CELL_PARAMETERS angstrom
5.010 0.000 0.000
-2.505 6.006 -0.283
0.000 -3.495 11.133

***

(2)
! GGA-PBE CdP2Os, relaxed; values from VASP
! Energy above the lowest structure with this stoichiometry ... 186 meV per atom
! Crystal system ... orthorhombic
&SYSTEM
  ibrav = 0, nat = 4, ntyp = 3
/
ATOMIC_SPECIES
Os 190.23 Os.upf
P 30.97 P.upf
Cd 112.41 Cd.upf
ATOMIC_POSITIONS angstrom
Os 4.197 -4.109 3.680
P 4.524 -1.734 3.251
Cd 2.525 -0.968 1.814
P 0.530 -2.703 1.045
CELL_PARAMETERS angstrom
-1.839 -1.189 1.925
0.113 -3.149 -1.837
5.401 -2.070 3.881

***

(3)
! GGA-PBE CsCdPd3, relaxed; values from VASP
! Energy above the lowest structure with this stoichiometry ... 0 meV per atom
! Crystal system ... cubic
&SYSTEM
  ibrav = 0, nat = 5, ntyp = 3
/
ATOMIC_SPECIES
Pd 106.42 Pd.upf
Cs 132.91 Cs.upf
Cd 112.41 Cd.upf
ATOMIC_POSITIONS angstrom
Pd -0.173 1.025 2.371
Cs -2.099 -1.882 3.488
Cd 0.000 0.000 0.000
Pd -2.515 -0.609 0.080
Pd 0.589 -2.298 1.037
CELL_PARAMETERS angstrom
-0.345 2.050 4.743
-5.031 -1.217 0.160
1.178 -4.597 2.073

***

Number 1: calculated formation energy -0.297 eV per atom. Number 2: calculated formation energy 0.185 eV per atom. Number 3: calculated formation energy 0.387 eV per atom.